1.
The following is a DFT calculation (GGA-PBE) of a relaxed structure of KBa3Hg2.

```
6
Lattice="-2.506 3.061 -1.580 -3.367 -2.589 0.325 -2.626 5.207 14.253" Properties=species:S:1:pos:R:3 pbc="T T T"
Ba -0.695 1.378 3.771
Hg -3.313 0.982 1.415
Ba -1.931 3.829 10.482
Hg -5.186 4.697 11.584
K -4.249 2.839 6.499
Ba 0.000 0.000 0.000
```

Properties
Total magnetic moment   0.00 μB per formula unit
ΔH_f (0 K)   -0.349 eV per atom
Calculated volume   279.4 Å³/f.u.

=====

2.
The following is a DFT calculation (GGA-PBE) of a relaxed structure of Cs2AlTlSb2.

```
12
Lattice="7.813 0.000 0.000 0.000 7.261 0.000 -3.907 -3.630 8.534" Properties=species:S:1:pos:R:3 pbc="T T T"
Al 3.907 1.815 0.000
Cs 1.754 0.000 2.874
Cs 2.153 3.630 5.660
Cs 6.059 3.630 2.874
Tl 0.000 1.815 0.000
Sb -1.441 3.630 6.975
Tl 0.000 5.445 0.000
Cs -2.153 0.000 5.660
Sb 5.347 0.000 1.559
Sb 1.441 0.000 6.975
Sb 2.466 3.630 1.559
Al 3.907 5.445 0.000
```

Properties
Total magnetic moment   0.00 μB per formula unit
Formation energy (no corrections)   -0.348 eV/atom
Calculated volume   242.1 Å³/f.u.